Record 1
SmPd4Pt8: optimized geometry, PBE.

Computed properties:
magnetization = 0.00 μB per formula unit
formation energy = -0.21 eV per atom

Unit cell a=9.0726 b=9.0726 c=5.3511 alpha=90.00 beta=90.00 gamma=90.00
Closest atoms and distances in Å follow each position.
Space group I4/mmm (No. 139)
One atom of each set of equivalent atoms:
Sm 0.0000 0.0000 0.0000 x2  12 Pt 3.17-3.32, 8 Pd 3.48
Pd 0.2500 0.2500 0.2500 x8  8 Pt 2.65-2.78, 2 Pd 2.68
Pt 0.0000 0.2172 0.5000 x8  4 Pd 2.65, 6 Pt 2.79-2.93
Pt 0.0000 0.3491 0.0000 x8  5 Pt 2.74-2.93, 4 Pd 2.78

Record 2
Sn2Ge2PtAu2: optimized geometry, PBE.

Computed properties:
magnetization = 0.00 μB per formula unit
formation energy = -0.20 eV per atom

Unit cell a=4.1418 b=6.5489 c=6.6621 alpha=117.75 beta=107.95 gamma=90.40
Closest atoms and distances in Å follow each position.
Space group P-1 (No. 2)
One atom of each set of equivalent atoms:
Sn 0.1329 0.4807 0.2688 x2  2 Pt 2.72, 3 Au 2.79-2.98
Ge 0.4135 0.0585 0.8277 x2  1 Pt 2.54, 3 Au 2.63-2.83, 1 Ge 2.65
Pt 0.5000 0.5000 0.0000 x1  2 Ge 2.54, 4 Sn 2.72
Au 0.2235 0.1642 0.4446 x2  3 Ge 2.63-2.83, 1 Sn 2.79

Record 3
NaRuRh: optimized geometry, PBE.

Computed properties:
magnetization = 0.00 μB per formula unit
relative energy among the computed polymorphs = 146 meV/atom
formation energy = 0.44 eV per atom

Unit cell a=5.1809 b=9.7918 c=4.6499 alpha=90.00 beta=123.21 gamma=90.00
Closest atoms and distances in Å follow each position.
Space group C2 (No. 5)
One atom of each set of equivalent atoms:
Na 0.1554 0.0000 0.3088 x4  1 Na 2.40
Ru 0.0000 0.6333 0.0000 x2  3 Rh 2.51-2.61, 2 Ru 2.59
Ru 0.0000 0.7508 0.5000 x2  4 Rh 2.59-2.65, 2 Ru 2.59, 4 Na 2.86-2.88
Rh 0.0000 0.2500 0.5000 x2  4 Ru 2.59-2.61, 2 Rh 2.64, 4 Na 2.87
Rh 0.0000 0.3771 0.0000 x2  3 Ru 2.51-2.65, 2 Rh 2.64